## P
First-principles (GGA-PBE) data for a geometry-optimized Ni2HRuRh structure, as listed in Alexandria via LeMat-Bulk.

The size of the total moment is 0.0 Bohr magnetons per cell. The volume comes out at 10.518 Å³/atom. The mass density comes out at 10.18 g/cm3.

Unit cell a=3.7738 b=3.7738 c=3.6925 alpha=90.00 beta=90.00 gamma=90.00
Space group P4/mmm (No. 123)
Symmetry-distinct sites (fractional):
Ni 0.0000 0.5000 0.0000 (multiplicity 2)
H 0.0000 0.0000 0.0000 (multiplicity 1)
Ru 0.0000 0.0000 0.5000 (multiplicity 1)
Rh 0.5000 0.5000 0.5000 (multiplicity 1)

---

## Q
First-principles (GGA-PBE) data for a geometry-optimized Ni2HRuRh structure, as listed in Alexandria via LeMat-Bulk.

The size of the total moment is 0.0 Bohr magnetons per cell. The volume comes out at 10.535 Å³/atom. The mass density comes out at 10.16 g/cm3.

Unit cell a=3.7688 b=3.7688 c=3.7085 alpha=90.00 beta=90.00 gamma=90.00
Space group P4/mmm (No. 123)
Symmetry-distinct sites (fractional):
Ni 0.0000 0.5000 0.0000 (multiplicity 2)
H 0.0000 0.0000 0.0000 (multiplicity 1)
Ru 0.5000 0.5000 0.5000 (multiplicity 1)
Rh 0.0000 0.0000 0.5000 (multiplicity 1)

---

Energies in meV/atom, measured from the most stable structure: P 0; Q 35.

---

## P
First-principles (GGA-PBE) data for a geometry-optimized Sc2NiHRh structure, as listed in Alexandria via LeMat-Bulk.

The size of the total moment is 0.0 Bohr magnetons per cell. The volume comes out at 14.061 Å³/atom. The mass density comes out at 5.96 g/cm3.

Unit cell a=4.5168 b=4.5168 c=3.4462 alpha=90.00 beta=90.00 gamma=90.00
Space group P4/mmm (No. 123)
Symmetry-distinct sites (fractional):
Sc 0.0000 0.5000 0.0000 (multiplicity 2)
Ni 0.0000 0.0000 0.5000 (multiplicity 1)
H 0.5000 0.5000 0.0000 (multiplicity 1)
Rh 0.5000 0.5000 0.5000 (multiplicity 1)

---

## Q
First-principles (GGA-PBE) data for a geometry-optimized Sc2NiHRh structure, as listed in Alexandria via LeMat-Bulk.

The size of the total moment is 0.0 Bohr magnetons per cell. The volume comes out at 13.643 Å³/atom. The mass density comes out at 6.15 g/cm3.

Unit cell a=4.5285 b=4.5285 c=3.3265 alpha=90.00 beta=90.00 gamma=90.00
Space group P4/mmm (No. 123)
Symmetry-distinct sites (fractional):
Sc 0.0000 0.5000 0.0000 (multiplicity 2)
Ni 0.0000 0.0000 0.5000 (multiplicity 1)
H 0.0000 0.0000 0.0000 (multiplicity 1)
Rh 0.5000 0.5000 0.5000 (multiplicity 1)

---

Energies in meV/atom, measured from the most stable structure: P 89; Q 0.

---

## P
First-principles (GGA-PBE) data for a geometry-optimized Ti2NiHRh structure, as listed in Alexandria via LeMat-Bulk.

The size of the total moment is 0.0 Bohr magnetons per cell. The volume comes out at 11.936 Å³/atom. The mass density comes out at 7.19 g/cm3.

Unit cell a=4.0047 b=4.0047 c=3.7212 alpha=90.00 beta=90.00 gamma=90.00
Space group P4/mmm (No. 123)
Symmetry-distinct sites (fractional):
Ti 0.0000 0.5000 0.0000 (multiplicity 2)
Ni 0.0000 0.0000 0.5000 (multiplicity 1)
H 0.5000 0.5000 0.0000 (multiplicity 1)
Rh 0.5000 0.5000 0.5000 (multiplicity 1)

---

## Q
First-principles (GGA-PBE) data for a geometry-optimized Ti2NiHRh structure, as listed in Alexandria via LeMat-Bulk.

The size of the total moment is 0.4 Bohr magnetons per cell. The volume comes out at 11.762 Å³/atom. The mass density comes out at 7.29 g/cm3.

Unit cell a=4.0507 b=4.0507 c=3.5843 alpha=90.00 beta=90.00 gamma=90.00
Space group P4/mmm (No. 123)
Symmetry-distinct sites (fractional):
Ti 0.0000 0.5000 0.0000 (multiplicity 2)
Ni 0.0000 0.0000 0.5000 (multiplicity 1)
H 0.0000 0.0000 0.0000 (multiplicity 1)
Rh 0.5000 0.5000 0.5000 (multiplicity 1)

---

Energies in meV/atom, measured from the most stable structure: P 71; Q 0.

---

## P
First-principles (GGA-PBE) data for a geometry-optimized TiNi2HRh structure, as listed in Alexandria via LeMat-Bulk.

The size of the total moment is 0.0 Bohr magnetons per cell. The volume comes out at 10.592 Å³/atom. The mass density comes out at 8.44 g/cm3.

Unit cell a=3.6776 b=3.6776 c=3.9157 alpha=90.00 beta=90.00 gamma=90.00
Space group P4/mmm (No. 123)
Symmetry-distinct sites (fractional):
Ti 0.0000 0.0000 0.0000 (multiplicity 1)
Ni 0.0000 0.5000 0.5000 (multiplicity 2)
H 0.5000 0.5000 0.5000 (multiplicity 1)
Rh 0.5000 0.5000 0.0000 (multiplicity 1)

---

## Q
First-principles (GGA-PBE) data for a geometry-optimized TiNi2HRh structure, as listed in Alexandria via LeMat-Bulk.

The size of the total moment is 0.0 Bohr magnetons per cell. The volume comes out at 10.571 Å³/atom. The mass density comes out at 8.46 g/cm3.

Unit cell a=3.6243 b=3.6243 c=4.0240 alpha=90.00 beta=90.00 gamma=90.00
Space group P4/mmm (No. 123)
Symmetry-distinct sites (fractional):
Ti 0.0000 0.0000 0.0000 (multiplicity 1)
Ni 0.0000 0.5000 0.5000 (multiplicity 2)
H 0.0000 0.0000 0.5000 (multiplicity 1)
Rh 0.5000 0.5000 0.0000 (multiplicity 1)

---

Energies in meV/atom, measured from the most stable structure: P 0; Q 19.

---

## P
First-principles (GGA-PBE) data for a geometry-optimized VNiHRh2 structure, as listed in Alexandria via LeMat-Bulk.

The size of the total moment is 0.0 Bohr magnetons per cell. The volume comes out at 10.973 Å³/atom. The mass density comes out at 9.58 g/cm3.

Unit cell a=3.8871 b=3.8871 c=3.6310 alpha=90.00 beta=90.00 gamma=90.00
Space group P4/mmm (No. 123)
Symmetry-distinct sites (fractional):
V 0.0000 0.0000 0.0000 (multiplicity 1)
Ni 0.5000 0.5000 0.0000 (multiplicity 1)
H 0.5000 0.5000 0.5000 (multiplicity 1)
Rh 0.0000 0.5000 0.5000 (multiplicity 2)

---

## Q
First-principles (GGA-PBE) data for a geometry-optimized VNiHRh2 structure, as listed in Alexandria via LeMat-Bulk.

The size of the total moment is 0.2 Bohr magnetons per cell. The volume comes out at 11.097 Å³/atom. The mass density comes out at 9.47 g/cm3.

Unit cell a=3.8333 b=3.8333 c=3.7759 alpha=90.00 beta=90.00 gamma=90.00
Space group P4/mmm (No. 123)
Symmetry-distinct sites (fractional):
V 0.0000 0.0000 0.0000 (multiplicity 1)
Ni 0.5000 0.5000 0.0000 (multiplicity 1)
H 0.0000 0.0000 0.5000 (multiplicity 1)
Rh 0.0000 0.5000 0.5000 (multiplicity 2)

---

Energies in meV/atom, measured from the most stable structure: P 0; Q 50.

---

## P
First-principles (GGA-PBE) data for a geometry-optimized NiHRhW2 structure, as listed in Alexandria via LeMat-Bulk.

The size of the total moment is 0.0 Bohr magnetons per cell. The volume comes out at 11.923 Å³/atom. The mass density comes out at 14.77 g/cm3.

Unit cell a=3.9345 b=3.9345 c=3.8510 alpha=90.00 beta=90.00 gamma=90.00
Space group P4/mmm (No. 123)
Symmetry-distinct sites (fractional):
Ni 0.0000 0.0000 0.0000 (multiplicity 1)
H 0.0000 0.0000 0.5000 (multiplicity 1)
Rh 0.5000 0.5000 0.0000 (multiplicity 1)
W 0.0000 0.5000 0.5000 (multiplicity 2)

---

## Q
First-principles (GGA-PBE) data for a geometry-optimized NiHRhW2 structure, as listed in Alexandria via LeMat-Bulk.

The size of the total moment is 0.0 Bohr magnetons per cell. The volume comes out at 11.996 Å³/atom. The mass density comes out at 14.68 g/cm3.

Unit cell a=3.9299 b=3.9299 c=3.8836 alpha=90.00 beta=90.00 gamma=90.00
Space group P4/mmm (No. 123)
Symmetry-distinct sites (fractional):
Ni 0.0000 0.0000 0.0000 (multiplicity 1)
H 0.5000 0.5000 0.5000 (multiplicity 1)
Rh 0.5000 0.5000 0.0000 (multiplicity 1)
W 0.0000 0.5000 0.5000 (multiplicity 2)

---

Energies in meV/atom, measured from the most stable structure: P 0; Q 41.